[1]
{
  "formula": "NdBePd",
  "functional": "GGA-PBE",
  "state": "relaxed",
  "lattice_angstrom": [[-0.902, -3.014, 3.109], [-3.263, 0.720, 2.898], [-3.727, -2.370, -0.233]],
  "species": ["Be", "Pd", "Nd"],
  "frac_coords": [[0.000, 0.000, 0.000], [0.750, 0.750, 0.750], [0.250, 0.250, 0.250]],
  "dft_energy_ev_per_fu": -13.87,
  "de_polymorph_ev_per_fu": 0.058
}

=====

[2]
{
  "formula": "NdBePd",
  "functional": "GGA-PBE",
  "state": "relaxed",
  "lattice_angstrom": [[-3.124, -0.140, 3.336], [-4.053, -1.981, -0.745], [-1.008, -3.974, 2.023]],
  "species": ["Be", "Nd", "Pd"],
  "frac_coords": [[0.500, 0.500, 0.500], [0.000, 0.000, 0.000], [0.250, 0.250, 0.250]],
  "dft_energy_ev_per_fu": -13.92,
  "de_polymorph_ev_per_fu": 0.000
}

=====

What did the first record say?
{
  "formula": "NdBePd",
  "functional": "GGA-PBE",
  "state": "relaxed",
  "lattice_angstrom": [[-0.902, -3.014, 3.109], [-3.263, 0.720, 2.898], [-3.727, -2.370, -0.233]],
  "species": ["Be", "Pd", "Nd"],
  "frac_coords": [[0.000, 0.000, 0.000], [0.750, 0.750, 0.750], [0.250, 0.250, 0.250]],
  "dft_energy_ev_per_fu": -13.87,
  "de_polymorph_ev_per_fu": 0.058
}

=====

Please write out number 1 again, unchanged.
{
  "formula": "NdBePd",
  "functional": "GGA-PBE",
  "state": "relaxed",
  "lattice_angstrom": [[-0.902, -3.014, 3.109], [-3.263, 0.720, 2.898], [-3.727, -2.370, -0.233]],
  "species": ["Be", "Pd", "Nd"],
  "frac_coords": [[0.000, 0.000, 0.000], [0.750, 0.750, 0.750], [0.250, 0.250, 0.250]],
  "dft_energy_ev_per_fu": -13.87,
  "de_polymorph_ev_per_fu": 0.058
}